The following is a PBE+U calculation of a relaxed structure of MgCoIO6, from Alexandria. Values from VASP.

Quantum ESPRESSO input file:
```
&SYSTEM
  ibrav = 0, nat = 18, ntyp = 4
/
ATOMIC_SPECIES
Mg 24.30 Mg.upf
Co 58.93 Co.upf
I 126.90 I.upf
O 16.00 O.upf
CELL_PARAMETERS angstrom
4.9620 0.0000 0.0000
-2.4810 4.2972 0.0000
0.0000 0.0000 9.2209
ATOMIC_POSITIONS crystal
Mg 0.0000 0.0000 0.0000
Mg 0.0000 0.0000 0.5000
Co 0.3333 0.6667 0.2500
Co 0.6667 0.3333 0.7500
I 0.6667 0.3333 0.2500
I 0.3333 0.6667 0.7500
O 0.6433 0.6423 0.1357
O 0.9990 0.3567 0.1357
O 0.3567 0.9990 0.6357
O 0.0010 0.6433 0.8643
O 0.3577 0.3567 0.3643
O 0.9990 0.6423 0.3643
O 0.6423 0.9990 0.8643
O 0.6433 0.0010 0.3643
O 0.0010 0.3577 0.6357
O 0.3577 0.0010 0.1357
O 0.6423 0.6433 0.6357
O 0.3567 0.3577 0.8643
```

Space group: P-31c (163)

=====

The following is a PBE+U calculation of a relaxed structure of Mg2CoIO, from Alexandria. Values from VASP.

Quantum ESPRESSO input file:
```
&SYSTEM
  ibrav = 0, nat = 5, ntyp = 4
/
ATOMIC_SPECIES
I 126.90 I.upf
Mg 24.30 Mg.upf
Co 58.93 Co.upf
O 16.00 O.upf
CELL_PARAMETERS angstrom
4.8489 0.0000 0.0000
0.0000 4.4453 0.0000
0.0000 0.0000 4.8489
ATOMIC_POSITIONS crystal
I 0.0000 0.5000 0.0000
Mg 0.0000 0.0000 0.5000
Mg 0.5000 0.0000 0.0000
Co 0.0000 0.0000 0.0000
O 0.5000 0.5000 0.5000
```

Space group: P4/mmm (123)

=====

The records above yield spin magnetization values of 0.00; 0.03 μB/f.u., respectively.
The records above yield VASP energy values of -5.26; -2.43 eV/atom, respectively.